# 1
The following is a GGA-PBEsol calculation of a relaxed structure of Co3Re, from Alexandria via LeMat-Bulk.

Properties
Total DFT energy (no corrections) (eV for the cell shown): -73.1

Unit cell a=3.5188 b=3.5188 c=7.5258 alpha=103.52 beta=103.52 gamma=90.00
Sites, in units of the cell vectors:
Re 0.6282 0.6282 0.2564
Re 0.3718 0.3718 0.7436
Co 0.5000 0.0000 0.0000
Co 0.8809 0.8809 0.7619
Co 0.1191 0.1191 0.2381
Co 0.2500 0.7500 0.5000
Co 0.7500 0.2500 0.5000
Co 0.0000 0.5000 0.0000

***

# 2
The following is a GGA-PBEsol calculation of a relaxed structure of CoRe2, from Alexandria via LeMat-Bulk.

Properties
Total DFT energy (no corrections) (eV for the cell shown): -33.9

Unit cell a=2.6752 b=2.6752 c=6.4419 alpha=90.00 beta=90.00 gamma=120.00
Each line ends with the local moment (μB).
Sites, in units of the cell vectors:
Re 0.6667 0.3333 0.6781  -0.01
Re 0.3333 0.6667 0.3219  -0.01
Co 0.0000 0.0000 0.0000  0.65

***

# 3
The following is a GGA-PBEsol calculation of a relaxed structure of CoRe2, from Alexandria via LeMat-Bulk.

Properties
Total DFT energy (no corrections) (eV for the cell shown): -69.0

Unit cell a=4.6237 b=4.7169 c=4.7169 alpha=76.10 beta=60.65 gamma=60.65
Sites, in units of the cell vectors:
Re 0.6521 0.5000 0.1959
Re 0.1521 0.1959 0.5000
Re 0.8479 0.8041 0.5000
Re 0.3479 0.5000 0.8041
Co 0.7500 0.0000 0.0000
Co 0.2500 0.0000 0.0000

***

# 4
The following is a GGA-PBEsol calculation of a relaxed structure of CoRe2, from Alexandria via LeMat-Bulk.

Properties
Total DFT energy (no corrections) (eV for the cell shown): -103.3

Unit cell a=2.6433 b=7.1617 c=7.1617 alpha=120.00 beta=90.00 gamma=90.00
Sites, in units of the cell vectors:
Co 0.5000 0.0000 0.0000
Co 0.0000 0.6667 0.3333
Co 0.0000 0.3333 0.6667
Re 0.0000 0.0000 0.2994
Re 0.5000 0.0000 0.6322
Re 0.0000 0.7006 0.7006
Re 0.0000 0.2994 0.0000
Re 0.5000 0.3678 0.3678
Re 0.5000 0.6322 0.0000

***

# 5
The following is a GGA-PBEsol calculation of a relaxed structure of CoRe5, from Alexandria via LeMat-Bulk.

Properties
Total DFT energy (no corrections) (eV for the cell shown): -74.3

Unit cell a=2.7262 b=5.1370 c=6.3789 alpha=103.96 beta=90.00 gamma=105.39
Sites, in units of the cell vectors:
Co 0.9999 0.9997 0.0021
Re 0.3934 0.7867 0.2691
Re 0.6634 0.3268 0.3279
Re 0.0531 0.1063 0.6165
Re 0.3376 0.6751 0.6707
Re 0.7194 0.4387 0.9470

***

# 6
The following is a GGA-PBEsol calculation of a relaxed structure of Co3Re, from Alexandria via LeMat-Bulk.

Properties
Total DFT energy (no corrections) (eV for the cell shown): -36.4

Unit cell a=2.5548 b=4.0177 c=4.3691 alpha=90.00 beta=90.00 gamma=90.00
Each line ends with the local moment (μB).
Sites, in units of the cell vectors:
Re 0.0000 0.5000 0.3304  -0.10
Co 0.0000 0.0000 0.9915  1.07
Co 0.5000 0.0000 0.5101  0.43
Co 0.5000 0.5000 0.8346  0.74

***

# 7
The following is a GGA-PBEsol calculation of a relaxed structure of CoRe2, from Alexandria via LeMat-Bulk.

Properties
Total DFT energy (no corrections) (eV for the cell shown): -31.6

Unit cell a=2.5594 b=4.1751 c=4.1751 alpha=90.00 beta=90.00 gamma=90.00
Sites, in units of the cell vectors:
Re 0.5000 0.0000 0.5000
Re 0.5000 0.5000 0.0000
Co 0.0000 0.0000 0.0000

***

# 8
The following is a GGA-PBEsol calculation of a relaxed structure of Co3Re, from Alexandria via LeMat-Bulk.

Properties
Total DFT energy (no corrections) (eV for the cell shown): -219.8

Unit cell a=4.3355 b=5.0002 c=12.1994 alpha=90.00 beta=90.00 gamma=90.00
Each line ends with the local moment (μB).
Sites, in units of the cell vectors:
Co 0.8318 0.7512 0.1672  0.36
Co 0.8318 0.7512 0.8328  0.36
Co 0.4972 0.7475 0.5000  0.39
Co 0.5028 0.7525 0.0000  0.39
Co 0.1682 0.7488 0.6672  0.36
Co 0.1682 0.7488 0.3328  0.36
Co 0.9975 0.5000 0.0000  0.66
Co 0.6667 0.5000 0.6648  0.83
Co 0.6667 0.5000 0.3352  0.83
Co 0.8318 0.2488 0.1672  0.36
Co 0.8318 0.2488 0.8328  0.36
Co 0.4972 0.2525 0.5000  0.39
Co 0.5028 0.2475 0.0000  0.39
Co 0.1682 0.2512 0.6672  0.36
Co 0.1682 0.2512 0.3328  0.36
Co 0.0025 0.0000 0.5000  0.66
Co 0.3333 0.0000 0.1648  0.83
Co 0.3333 0.0000 0.8352  0.83
Re 0.0012 0.5000 0.5000  -0.08
Re 0.3285 0.5000 0.1643  -0.08
Re 0.3285 0.5000 0.8357  -0.08
Re 0.9988 0.0000 0.0000  -0.08
Re 0.6715 0.0000 0.6643  -0.08
Re 0.6715 0.0000 0.3357  -0.08

***

# 9
The following is a GGA-PBEsol calculation of a relaxed structure of CoRe2, from Alexandria via LeMat-Bulk.

Properties
Total DFT energy (no corrections) (eV for the cell shown): -137.4

Unit cell a=3.7519 b=3.7519 c=11.4704 alpha=99.41 beta=99.41 gamma=90.00
Sites, in units of the cell vectors:
Co 0.9157 0.9157 0.8314
Co 0.0843 0.0843 0.1686
Co 0.1657 0.6657 0.3314
Co 0.3343 0.8343 0.6686
Re 0.7513 0.7513 0.5025
Re 0.2487 0.2487 0.4975
Re 0.0013 0.5013 0.0025
Re 0.4987 0.9987 0.9975
Re 0.5858 0.5858 0.1716
Re 0.4142 0.4142 0.8284
Re 0.8358 0.3358 0.6716
Re 0.6642 0.1642 0.3284

***

# 10
The following is a GGA-PBEsol calculation of a relaxed structure of CoRe5, from Alexandria via LeMat-Bulk.

Properties
Total DFT energy (no corrections) (eV for the cell shown): -74.3

Unit cell a=2.7293 b=4.3339 c=7.1875 alpha=90.00 beta=100.94 gamma=90.00
Sites, in units of the cell vectors:
Co 0.0030 0.0000 0.0060
Re 0.2229 0.5000 0.4457
Re 0.3362 0.0000 0.6724
Re 0.5520 0.5000 0.1041
Re 0.6611 0.0000 0.3221
Re 0.8915 0.5000 0.7831

***

# 11
The following is a GGA-PBEsol calculation of a relaxed structure of CoRe5, from Alexandria via LeMat-Bulk.

Properties
Total DFT energy (no corrections) (eV for the cell shown): -74.1

Unit cell a=3.8167 b=3.8173 c=6.0265 alpha=90.00 beta=108.46 gamma=90.00
Sites, in units of the cell vectors:
Co 0.5000 0.0000 0.0000
Re 0.3383 0.5000 0.6766
Re 0.1616 0.0000 0.3233
Re 0.0000 0.5000 0.0000
Re 0.8384 0.0000 0.6767
Re 0.6617 0.5000 0.3234

***

# 12
The following is a GGA-PBEsol calculation of a relaxed structure of CoRe2, from Alexandria via LeMat-Bulk.

Properties
Total DFT energy (no corrections) (eV for the cell shown): -68.7

Unit cell a=2.6646 b=5.0416 c=6.2571 alpha=104.00 beta=90.00 gamma=105.32
Sites, in units of the cell vectors:
Re 0.6346 0.2691 0.5268
Re 0.3161 0.6322 0.8647
Re 0.6839 0.3678 0.1353
Re 0.3654 0.7309 0.4732
Co 0.0285 0.0570 0.8095
Co 0.9715 0.9430 0.1905